No. 1
# ZrAg2Br

A crystal of ZrAg2Br relaxed with PBEsol (meta-GGA SCAN, Alexandria).

Results
- DOS at the Fermi energy: 0.547 states/eV/atom
- Formation energy (no corrections): 0.114 eV per atom
- Symmetry: P4/mmm, No. 123

abc: 3.902 3.902 5.068
angles: 90.00 90.00 90.00
Element x y z (fractional)
Zr: 0.000 0.000 0.000
Ag: 0.000 0.500 0.500
Ag: 0.500 0.000 0.500
Br: 0.500 0.500 0.000

---

No. 2
# ZrAg2Br

A crystal of ZrAg2Br relaxed with PBEsol (meta-GGA SCAN, Alexandria).

Results
- DOS at the Fermi energy: 0.547 states/eV/atom
- Formation energy (no corrections): 0.011 eV per atom
- Symmetry: Pmmm, No. 47

abc: 3.177 4.583 5.264
angles: 90.00 90.00 90.00
Element x y z (fractional)
Zr: 0.000 0.000 0.000
Ag: 0.000 0.500 0.500
Ag: 0.500 0.000 0.500
Br: 0.500 0.500 0.000

---

No. 3
# ZrAgBr2

A crystal of ZrAgBr2 relaxed with PBEsol (meta-GGA SCAN, Alexandria).

Results
- DOS at the Fermi energy: 0.538 states/eV/atom
- Formation energy (no corrections): -0.135 eV per atom
- Symmetry: Cmmm, No. 65

abc: 6.532 7.340 3.355
angles: 90.00 90.00 90.00
Element x y z (fractional)
Zr: 0.000 0.000 0.000
Zr: 0.500 0.500 0.000
Ag: 0.000 0.500 0.000
Ag: 0.500 0.000 0.000
Br: 0.250 0.250 0.500
Br: 0.250 0.750 0.500
Br: 0.750 0.250 0.500
Br: 0.750 0.750 0.500

---

No. 4
# Zr2AgBr

A crystal of Zr2AgBr relaxed with PBEsol (meta-GGA SCAN, Alexandria).

Results
- DOS at the Fermi energy: 0.846 states/eV/atom
- Formation energy (no corrections): -0.095 eV per atom
- Symmetry: C2/m, No. 12

abc: 6.791 7.275 3.113
angles: 90.00 90.38 90.00
Element x y z (fractional)
Zr: 0.250 0.250 0.000
Zr: 0.250 0.750 0.000
Zr: 0.750 0.250 0.000
Zr: 0.750 0.750 0.000
Ag: 0.000 0.000 0.500
Ag: 0.500 0.500 0.500
Br: 0.000 0.500 0.500
Br: 0.500 0.000 0.500

---

No. 5
# ZrAgBr2

A crystal of ZrAgBr2 relaxed with PBEsol (meta-GGA SCAN, Alexandria).

Results
- DOS at the Fermi energy: 0.257 states/eV/atom
- Formation energy (no corrections): -0.638 eV per atom
- Symmetry: R-3m, No. 166

abc: 3.320 3.320 29.221
angles: 90.00 90.00 120.00
Element x y z (fractional)
Zr: 0.000 0.000 0.000
Zr: 0.333 0.667 0.667
Zr: 0.667 0.333 0.333
Ag: 0.000 0.000 0.500
Ag: 0.333 0.667 0.167
Ag: 0.667 0.333 0.833
Br: 0.000 0.000 0.267
Br: 0.000 0.000 0.733
Br: 0.333 0.667 0.399
Br: 0.333 0.667 0.934
Br: 0.667 0.333 0.066
Br: 0.667 0.333 0.601

---

No. 6
# Ag3C5

A crystal of Ag3C5 relaxed with PBEsol (meta-GGA SCAN, Alexandria).

Results
- DOS at the Fermi energy: 0.437 states/eV/atom
- Total DFT energy (no corrections): -125.368 eV/f.u.
- Symmetry: P4/mmm, No. 123

abc: 2.536 2.536 12.843
angles: 90.00 90.00 90.00
Element x y z (fractional)
Ag: 0.000 0.000 0.000
Ag: 0.500 0.500 0.371
Ag: 0.500 0.500 0.629
C: 0.000 0.000 0.179
C: 0.000 0.000 0.500
C: 0.000 0.000 0.821
C: 0.500 0.500 0.190
C: 0.500 0.500 0.810

---

No. 7
# AgC

A crystal of AgC relaxed with PBEsol (meta-GGA SCAN, Alexandria).

Results
- Total DFT energy (no corrections): -39.059 eV/f.u.
- Symmetry: P6_3/mmc, No. 194

abc: 4.889 4.889 5.420
angles: 90.00 90.00 120.00
Element x y z (fractional)
Ag: 0.000 0.000 0.250
Ag: 0.000 0.000 0.750
Ag: 0.333 0.667 0.250
Ag: 0.667 0.333 0.750
C: 0.333 0.667 0.633
C: 0.333 0.667 0.867
C: 0.667 0.333 0.133
C: 0.667 0.333 0.367

---

No. 8
# AgC

A crystal of AgC relaxed with PBEsol (meta-GGA SCAN, Alexandria).

Results
- DOS at the Fermi energy: 0.508 states/eV/atom
- Total DFT energy (no corrections): -36.657 eV/f.u.
- Symmetry: I4_1/amd, No. 141

abc: 3.210 3.210 9.389
angles: 90.00 90.00 90.00
Element x y z (fractional)
Ag: 0.000 0.250 0.375
Ag: 0.000 0.750 0.625
Ag: 0.500 0.250 0.125
Ag: 0.500 0.750 0.875
C: 0.000 0.250 0.875
C: 0.000 0.750 0.125
C: 0.500 0.250 0.625
C: 0.500 0.750 0.375

---

No. 9
# Ag4C5

A crystal of Ag4C5 relaxed with PBEsol (meta-GGA SCAN, Alexandria).

Results
- DOS at the Fermi energy: 0.410 states/eV/atom
- Total DFT energy (no corrections): -163.576 eV/f.u.
- Symmetry: I4/mmm, No. 139

abc: 7.188 7.188 7.188
angles: 91.88 91.88 159.10
Element x y z (fractional)
Ag: 0.000 0.216 0.216
Ag: 0.000 0.784 0.784
Ag: 0.216 0.000 0.216
Ag: 0.784 0.000 0.784
C: 0.000 0.000 0.000
C: 0.230 0.230 0.461
C: 0.230 0.770 0.000
C: 0.770 0.230 0.000
C: 0.770 0.770 0.539

---

No. 10
# Ag5C3

A crystal of Ag5C3 relaxed with PBEsol (meta-GGA SCAN, Alexandria).

Results
- DOS at the Fermi energy: 0.552 states/eV/atom
- Total DFT energy (no corrections): -172.830 eV/f.u.
- Symmetry: Cmmm, No. 65

abc: 7.295 9.621 3.085
angles: 90.00 90.00 90.00
Element x y z (fractional)
Ag: 0.000 0.000 0.000
Ag: 0.194 0.500 0.500
Ag: 0.250 0.250 0.000
Ag: 0.250 0.750 0.000
Ag: 0.306 0.000 0.500
Ag: 0.500 0.500 0.000
Ag: 0.694 0.000 0.500
Ag: 0.750 0.250 0.000
Ag: 0.750 0.750 0.000
Ag: 0.806 0.500 0.500
C: 0.000 0.183 0.500
C: 0.000 0.500 0.000
C: 0.000 0.817 0.500
C: 0.500 0.000 0.000
C: 0.500 0.317 0.500
C: 0.500 0.683 0.500

---

No. 11
# AgC

A crystal of AgC relaxed with PBEsol (meta-GGA SCAN, Alexandria).

Results
- DOS at the Fermi energy: 0.751 states/eV/atom
- Total DFT energy (no corrections): -36.796 eV/f.u.
- Symmetry: P4/mmm, No. 123

abc: 3.074 3.074 2.684
angles: 90.00 90.00 90.00
Element x y z (fractional)
Ag: 0.000 0.000 0.000
C: 0.500 0.500 0.000

---

No. 12
# AgC

A crystal of AgC relaxed with PBEsol (meta-GGA SCAN, Alexandria).

Results
- DOS at the Fermi energy: 0.594 states/eV/atom
- Total DFT energy (no corrections): -36.817 eV/f.u.
- Symmetry: P-62m, No. 189

abc: 5.606 5.606 2.845
angles: 90.00 90.00 120.00
Element x y z (fractional)
Ag: 0.000 0.615 0.000
Ag: 0.385 0.385 0.000
Ag: 0.615 0.000 0.000
C: 0.000 0.000 0.000
C: 0.333 0.667 0.500
C: 0.667 0.333 0.500

---

No. 13
# AgC

A crystal of AgC relaxed with PBEsol (meta-GGA SCAN, Alexandria).

Results
- DOS at the Fermi energy: 0.566 states/eV/atom
- Total DFT energy (no corrections): -36.853 eV/f.u.
- Symmetry: P-6m2, No. 187

abc: 3.178 3.178 2.812
angles: 90.00 90.00 120.00
Element x y z (fractional)
Ag: 0.000 0.000 0.000
C: 0.333 0.667 0.500

---

No. 14
# Ca3AgC

A crystal of Ca3AgC relaxed with PBEsol (meta-GGA SCAN, Alexandria).

Results
- DOS at the Fermi energy: 0.776 states/eV/atom
- Total DFT energy (no corrections): -70.214 eV/f.u.
- Symmetry: Pm-3m, No. 221

abc: 4.990 4.990 4.990
angles: 90.00 90.00 90.00
Element x y z (fractional)
Ca: 0.000 0.000 0.500
Ca: 0.000 0.500 0.000
Ca: 0.500 0.000 0.000
Ag: 0.500 0.500 0.500
C: 0.000 0.000 0.000

---

No. 15
# LaCdAg2C

A crystal of LaCdAg2C relaxed with PBEsol (meta-GGA SCAN, Alexandria).

Results
- DOS at the Fermi energy: 0.620 states/eV/atom
- Total DFT energy (no corrections): -141.763 eV/f.u.
- Symmetry: P4/mmm, No. 123

abc: 5.051 5.051 4.311
angles: 90.00 90.00 90.00
Element x y z (fractional)
La: 0.000 0.000 0.000
Cd: 0.500 0.500 0.500
Ag: 0.000 0.500 0.500
Ag: 0.500 0.000 0.500
C: 0.500 0.500 0.000

---

No. 16
# Ag2CCl

A crystal of Ag2CCl relaxed with PBEsol (meta-GGA SCAN, Alexandria).

Results
- DOS at the Fermi energy: 0.377 states/eV/atom
- Formation energy (no corrections): 0.873 eV per atom
- Symmetry: I-42d, No. 122

abc: 5.815 5.815 8.600
angles: 90.00 90.00 90.00
Element x y z (fractional)
Ag: 0.165 0.750 0.125
Ag: 0.250 0.165 0.875
Ag: 0.250 0.335 0.375
Ag: 0.335 0.750 0.625
Ag: 0.665 0.250 0.625
Ag: 0.750 0.665 0.375
Ag: 0.750 0.835 0.875
Ag: 0.835 0.250 0.125
C: 0.000 0.000 0.000
C: 0.000 0.500 0.250
C: 0.500 0.000 0.750
C: 0.500 0.500 0.500
Cl: 0.000 0.000 0.500
Cl: 0.000 0.500 0.750
Cl: 0.500 0.000 0.250
Cl: 0.500 0.500 0.000

---

No. 17
# AgC3Cl

A crystal of AgC3Cl relaxed with PBEsol (meta-GGA SCAN, Alexandria).

Results
- DOS at the Fermi energy: 0.390 states/eV/atom
- Formation energy (no corrections): 3.630 eV per atom
- Symmetry: Pm-3m, No. 221

abc: 3.799 3.799 3.799
angles: 90.00 90.00 90.00
Element x y z (fractional)
Ag: 0.000 0.000 0.000
C: 0.000 0.500 0.500
C: 0.500 0.000 0.500
C: 0.500 0.500 0.000
Cl: 0.500 0.500 0.500

---

No. 18
# AgH4CSN2Cl

A crystal of AgH4CSN2Cl relaxed with PBEsol (meta-GGA SCAN, Alexandria).

Results
- DOS at the Fermi energy: 0.000 states/eV/atom
- Total DFT energy (no corrections): -95.014 eV/f.u.
- Symmetry: Pbca, No. 61

abc: 7.080 16.508 8.344
angles: 90.00 90.00 90.00
Element x y z (fractional)
Ag: 0.127 0.214 0.150
Ag: 0.127 0.286 0.650
Ag: 0.373 0.714 0.150
Ag: 0.373 0.786 0.650
Ag: 0.627 0.214 0.350
Ag: 0.627 0.286 0.850
Ag: 0.873 0.714 0.350
Ag: 0.873 0.786 0.850
H: 0.101 0.543 0.640
H: 0.101 0.957 0.140
H: 0.134 0.503 0.895
H: 0.134 0.997 0.395
H: 0.152 0.644 0.585
H: 0.152 0.856 0.085
H: 0.158 0.574 0.055
H: 0.158 0.926 0.555
H: 0.342 0.074 0.055
H: 0.342 0.426 0.555
H: 0.348 0.144 0.585
H: 0.348 0.356 0.085
H: 0.366 0.003 0.895
H: 0.366 0.497 0.395
H: 0.399 0.043 0.640
H: 0.399 0.457 0.140
H: 0.601 0.543 0.860
H: 0.601 0.957 0.360
H: 0.634 0.503 0.605
H: 0.634 0.997 0.105
H: 0.652 0.644 0.915
H: 0.652 0.856 0.415
H: 0.658 0.574 0.445
H: 0.658 0.926 0.945
H: 0.842 0.074 0.445
H: 0.842 0.426 0.945
H: 0.848 0.144 0.915
H: 0.848 0.356 0.415
H: 0.866 0.003 0.605
H: 0.866 0.497 0.105
H: 0.899 0.043 0.860
H: 0.899 0.457 0.360
C: 0.171 0.619 0.825
C: 0.171 0.881 0.325
C: 0.329 0.119 0.825
C: 0.329 0.381 0.325
C: 0.671 0.619 0.675
C: 0.671 0.881 0.175
C: 0.829 0.119 0.675
C: 0.829 0.381 0.175
S: 0.213 0.719 0.881
S: 0.213 0.781 0.381
S: 0.287 0.219 0.881
S: 0.287 0.281 0.381
S: 0.713 0.719 0.619
S: 0.713 0.781 0.119
S: 0.787 0.219 0.619
S: 0.787 0.281 0.119
N: 0.152 0.600 0.671
N: 0.152 0.900 0.171
N: 0.157 0.561 0.934
N: 0.157 0.939 0.434
N: 0.343 0.061 0.934
N: 0.343 0.439 0.434
N: 0.348 0.100 0.671
N: 0.348 0.400 0.171
N: 0.652 0.600 0.829
N: 0.652 0.900 0.329
N: 0.657 0.561 0.566
N: 0.657 0.939 0.066
N: 0.843 0.061 0.566
N: 0.843 0.439 0.066
N: 0.848 0.100 0.829
N: 0.848 0.400 0.329
Cl: 0.027 0.579 0.299
Cl: 0.027 0.921 0.799
Cl: 0.473 0.079 0.299
Cl: 0.473 0.421 0.799
Cl: 0.527 0.579 0.201
Cl: 0.527 0.921 0.701
Cl: 0.973 0.079 0.201
Cl: 0.973 0.421 0.701

---

No. 19
# Ag2CSCl

A crystal of Ag2CSCl relaxed with PBEsol (meta-GGA SCAN, Alexandria).

Results
- DOS at the Fermi energy: 0.703 states/eV/atom
- Formation energy (no corrections): 1.617 eV per atom
- Symmetry: P4/mmm, No. 123

abc: 5.042 5.042 3.497
angles: 90.00 90.00 90.00
Element x y z (fractional)
Ag: 0.000 0.500 0.000
Ag: 0.500 0.000 0.000
C: 0.000 0.000 0.500
S: 0.500 0.500 0.500
Cl: 0.000 0.000 0.000

---

No. 20
# CoAg3C

A crystal of CoAg3C relaxed with PBEsol (meta-GGA SCAN, Alexandria).

Results
- DOS at the Fermi energy: 0.201 states/eV/atom
- Total DFT energy (no corrections): -116.862 eV/f.u.
- Symmetry: Pm-3m, No. 221

abc: 4.168 4.168 4.168
angles: 90.00 90.00 90.00
Element x y z (fractional)
Co: 0.000 0.000 0.000
Ag: 0.000 0.500 0.500
Ag: 0.500 0.000 0.500
Ag: 0.500 0.500 0.000
C: 0.500 0.500 0.500

---

No. 21
# CoAg3C

A crystal of CoAg3C relaxed with PBEsol (meta-GGA SCAN, Alexandria).

Results
- DOS at the Fermi energy: 0.448 states/eV/atom
- Total DFT energy (no corrections): -110.436 eV/f.u.
- Symmetry: Pm-3m, No. 221

abc: 4.648 4.648 4.648
angles: 90.00 90.00 90.00
Element x y z (fractional)
Co: 0.000 0.000 0.000
Ag: 0.000 0.000 0.500
Ag: 0.000 0.500 0.000
Ag: 0.500 0.000 0.000
C: 0.500 0.500 0.500

---

No. 22
# CoAgC2I

A crystal of CoAgC2I relaxed with PBEsol (meta-GGA SCAN, Alexandria).

Results
- DOS at the Fermi energy: 0.187 states/eV/atom
- Formation energy (no corrections): 1.541 eV per atom
- Symmetry: P4/mmm, No. 123

abc: 3.677 3.677 7.509
angles: 90.00 90.00 90.00
Element x y z (fractional)
Co: 0.000 0.000 0.000
Ag: 0.500 0.500 0.500
C: 0.000 0.500 0.000
C: 0.500 0.000 0.000
I: 0.000 0.000 0.500

---

No. 23
# ScCoAg2C

A crystal of ScCoAg2C relaxed with PBEsol (meta-GGA SCAN, Alexandria).

Results
- DOS at the Fermi energy: 0.594 states/eV/atom
- Total DFT energy (no corrections): -95.919 eV/f.u.
- Symmetry: P4/mmm, No. 123

abc: 4.642 4.642 4.382
angles: 90.00 90.00 90.00
Element x y z (fractional)
Sc: 0.000 0.000 0.000
Co: 0.000 0.000 0.500
Ag: 0.000 0.500 0.500
Ag: 0.500 0.000 0.500
C: 0.500 0.500 0.000

---

No. 24
# Y2CoAgC

A crystal of Y2CoAgC relaxed with PBEsol (meta-GGA SCAN, Alexandria).

Results
- DOS at the Fermi energy: 0.762 states/eV/atom
- Total DFT energy (no corrections): -109.554 eV/f.u.
- Symmetry: P4/mmm, No. 123

abc: 5.396 5.396 3.781
angles: 90.00 90.00 90.00
Element x y z (fractional)
Y: 0.000 0.500 0.000
Y: 0.500 0.000 0.000
Co: 0.000 0.000 0.500
Ag: 0.500 0.500 0.000
C: 0.500 0.500 0.500